# PBE-GGA LaGdH4, optimized geometry
data_LaGdH4
_chemical_formula_sum 'La1 Gd1 H4'
_space_group_name_H-M_alt 'P 4/m m m'
_space_group_IT_number 123
_space_group_name_Hall '-P 4 2'
_cell_length_a 3.8152
_cell_length_b 3.8152
_cell_length_c 5.4890
_cell_angle_alpha 90.00
_cell_angle_beta 90.00
_cell_angle_gamma 90.00
loop_
_atom_site_label
_atom_site_type_symbol
_atom_site_fract_x
_atom_site_fract_y
_atom_site_fract_z
_atom_site_occupancy
La1 La 0.0000 0.0000 0.0000 1
Gd1 Gd 0.5000 0.5000 0.5000 1
H1 H 0.0000 0.5000 0.2699 1
# E_tot: -4.50 eV/atom
# crystal system: tetragonal
# magnetic moment: 0.00 μB/atom